# 1
# Er6Hg5Pb

A geometry-optimized Er6Hg5Pb structure (PBE-GGA, Alexandria).

total energy	-3.1800	eV per atom
SG	P2/m (10)
V	306.7	Å³ per cell

Geometry as POSCAR:
```
Er6Hg5Pb
1.0
5.005 -0.030 1.684
0.039 7.317 0.013
0.015 -0.015 8.380
Er Hg Pb
6 5 1
Direct
0.500 0.253 0.000
0.169 0.746 0.662
0.169 0.254 0.662
0.831 0.254 0.338
0.831 0.746 0.338
0.500 0.747 0.000
0.000 0.500 0.000
0.664 0.500 0.671
0.336 0.500 0.329
0.327 0.000 0.346
0.673 0.000 0.654
0.000 0.000 0.000
```

***

# 2
# Mg2Mn2Fe

A geometry-optimized Mg2Mn2Fe structure (PBE-GGA, Alexandria).

total energy	-5.1651	eV per atom
SG	I4/mmm (139)
V	89.8	Å³ per cell
ΔE to the lowest computed polymorph	2.24	eV/f.u.

Geometry as POSCAR:
```
Mg2Mn2Fe
1.0
3.742 0.000 0.000
0.000 3.742 0.000
1.871 1.871 6.412
Mn Fe Mg
2 1 2
Direct
0.591 0.591 0.818
0.409 0.409 0.182
0.000 0.000 0.000
0.250 0.750 0.500
0.750 0.250 0.500
```

***

# 3
# PmMnReSi2

A geometry-optimized PmMnReSi2 structure (PBE-GGA, Alexandria).

total energy	-7.9879	eV per atom
SG	I-4m2 (119)
V	86.1	Å³ per cell
formation energy (no corrections)	-0.54	eV per atom

Geometry as POSCAR:
```
PmMnReSi2
1.0
4.033 0.000 0.000
0.000 4.033 0.000
-2.017 -2.017 5.292
Mn Si Pm Re
1 2 1 1
Direct
0.250 0.750 0.500
0.380 0.380 0.760
0.620 0.620 0.240
0.000 0.000 0.000
0.750 0.250 0.500
```

***

Number 1: DOS(E_F) 11.0 states/eV/cell. Number 2: DOS(E_F) 4.7 states/eV/cell. Number 3: DOS(E_F) 3.6 states/eV/cell.